Entry 1:
Computed, not measured: a relaxed structure of Na2TlCrF8 at the PBE with a Hubbard U level of DFT.

Computed properties:
D(E_F) ... 0.00 states/eV/atom
Space-group type ... P2/m, No. 10
Raw total energy ... -4.765 eV/atom

Unit cell a=5.091 b=6.762 c=5.114 alpha=90.00 beta=92.34 gamma=90.00
Fractional coordinates of all 12 atoms:
Na 0.000 0.233 0.000
Na 0.000 0.767 0.000
Tl 0.500 0.500 0.500
Cr 0.500 0.000 0.500
F 0.204 0.500 0.202
F 0.232 0.000 0.227
F 0.320 0.221 0.676
F 0.320 0.779 0.676
F 0.680 0.221 0.324
F 0.680 0.779 0.324
F 0.768 0.000 0.773
F 0.796 0.500 0.798

Entry 2:
Computed, not measured: a relaxed structure of NaVCr2F8 at the PBE with a Hubbard U level of DFT.

Computed properties:
Space-group type ... P-1, No. 2
Raw total energy ... -5.938 eV/atom

Unit cell a=4.881 b=4.938 c=6.806 alpha=86.81 beta=86.95 gamma=87.91
Fractional coordinates of all 12 atoms:
Na 0.000 0.000 0.000
V 0.000 0.000 0.500
Cr 0.486 0.487 0.248
Cr 0.514 0.513 0.752
F 0.201 0.805 0.715
F 0.205 0.808 0.286
F 0.278 0.286 0.479
F 0.312 0.319 0.975
F 0.688 0.681 0.025
F 0.722 0.714 0.521
F 0.795 0.192 0.714
F 0.799 0.195 0.285